(1)
A plane-wave DFT calculation with PBEsol was carried out for crystalline BeCu2Si at its relaxed geometry.

Cell: 2.4981 2.4981 7.0696 Å, 90.00 90.00 90.00°
Last column: nearest neighbours and their distance in Å.
Space group P4mm (No. 99)
Symmetry-distinct sites (fractional):
Be1 0.0000 0.0000 0.0000 x1  4 Cu 2.33, 4 Be 2.50, 4 Si 2.50
Cu1 0.0000 0.0000 0.4816 x1  8 Cu 2.50-2.58, 4 Si 2.59
Cu2 0.5000 0.5000 0.2150 x1  4 Be 2.33, 8 Cu 2.50-2.58
Si1 0.5000 0.5000 0.7493 x1  4 Si 2.50, 4 Be 2.50, 4 Cu 2.59

DOS at the Fermi energy in states/eV/f.u.: 1.4
Formation energy (no corrections) in eV per atom: 0.094
Crystal system: tetragonal

(2)
A plane-wave DFT calculation with PBEsol was carried out for crystalline SiH17S3N5 at its relaxed geometry.

Cell: 6.2383 6.4352 12.8329 Å, 96.94 91.83 94.34°
Last column: nearest neighbours and their distance in Å.
Space group P-1 (No. 2)
Symmetry-distinct sites (fractional):
Si1 0.1143 0.1775 0.1946 x2  1 N 1.88, 3 S 2.07-2.10
H1 0.0099 0.6884 0.4809 x2  1 N 1.03
H2 0.0973 0.4595 0.8728 x2  1 N 1.05
H3 0.1385 0.5204 0.4002 x2  1 N 1.03
H4 0.1880 0.7795 0.4031 x2  1 N 1.03
H5 0.2051 0.0761 0.6473 x2  1 N 1.03
H6 0.2264 0.2314 0.8748 x2  1 N 1.06
H7 0.2347 0.9510 0.0384 x2  1 N 1.06
H8 0.2404 0.8265 0.1472 x2  1 N 1.04
H9 0.2424 0.4180 0.9824 x2  1 N 1.06
H10 0.2885 0.6742 0.6989 x2  1 N 1.04
H11 0.2929 0.6319 0.5626 x2  1 N 1.09
H12 0.3294 0.1211 0.5402 x2  1 N 1.03
H13 0.3585 0.4318 0.6385 x2  1 N 1.08
H14 0.3749 0.4694 0.8717 x2  1 N 1.04
H15 0.4339 0.0157 0.1332 x2  1 N 1.04
H16 0.4720 0.0873 0.6463 x2  1 N 1.03
H17 0.4741 0.3360 0.3575 x2  1 N 1.05
S1 0.1669 0.1305 0.3499 x2  1 Si 2.07, 1 H 2.24
S2 0.2045 0.8933 0.8639 x2  1 Si 2.10, 3 H 2.16-2.29
S3 0.2522 0.4617 0.1519 x2  1 Si 2.10, 2 H 2.16-2.30
N1 0.1559 0.6609 0.4491 x2  3 H 1.03
N2 0.2364 0.3954 0.8989 x2  4 H 1.04-1.06
N3 0.2695 0.9724 0.1204 x2  3 H 1.04-1.06
N4 0.3389 0.1556 0.6208 x2  3 H 1.03
N5 0.3659 0.5991 0.6363 x2  4 H 1.04-1.09

DFT total energy in hartree per atom: -0.18387
DOS at the Fermi energy in states/eV/f.u.: 0.0
Crystal system: triclinic

(3)
A plane-wave DFT calculation with PBEsol was carried out for crystalline SrCdAs2O7 at its relaxed geometry.

Cell: 5.8139 7.1623 7.4507 Å, 100.89 90.12 98.95°
Last column: nearest neighbours and their distance in Å.
Space group P-1 (No. 2)
Symmetry-distinct sites (fractional):
Sr1 0.1802 0.2743 0.4358 x2  7 O 2.50-2.78
Cd1 0.1847 0.1674 0.9005 x2  6 O 2.25-2.46
As1 0.2946 0.6688 0.8843 x2  4 O 1.68-1.79
As2 0.3184 0.7810 0.3250 x2  4 O 1.69-1.79
O1 0.0899 0.8170 0.8746 x2  1 As 1.72
O2 0.1044 0.9178 0.3228 x2  1 As 1.70
O3 0.2125 0.4426 0.7679 x2  1 As 1.68
O4 0.2601 0.6359 0.4788 x2  1 As 1.69
O5 0.2923 0.6172 0.1097 x2  2 As 1.79
O6 0.4036 0.1010 0.6548 x2  1 As 1.70
O7 0.4306 0.2226 0.1453 x2  1 As 1.70

DOS at the Fermi energy in states/eV/f.u.: 0.0
Formation energy (no corrections) in eV per atom: -1.664
Crystal system: triclinic

(4)
A plane-wave DFT calculation with PBEsol was carried out for crystalline MgZrZn2 at its relaxed geometry.

Cell: 3.0750 3.0750 7.3707 Å, 90.00 90.00 90.00°
Last column: nearest neighbours and their distance in Å.
Space group P4/mmm (No. 123)
Symmetry-distinct sites (fractional):
Mg1 0.0000 0.0000 0.0000 x1  8 Zn 2.82, 4 Mg 3.07
Zr1 0.0000 0.0000 0.5000 x1  8 Zn 2.88, 4 Zr 3.07
Zn1 0.5000 0.5000 0.2431 x2  4 Mg 2.82, 4 Zr 2.88, 4 Zn 3.07

Energy of formation from the pure elements in kJ/mol of formula units: -79
DOS at the Fermi energy in states/eV/f.u.: 2.3
Crystal system: tetragonal